Entry 1:
A relaxed structure of SrPHPd2. Source: Alexandria, functional PBE.

```
SrPHPd2
1.0
-2.2095 -3.0286 -1.3602
0.1470 -0.1282 5.8929
-5.8597 4.1685 0.2369
Sr P H Pd
2 2 2 4
Direct
0.4521 0.9041 0.7500 Sr
0.5479 0.0959 0.2500 Sr
0.7312 0.4625 0.7500 P
0.2688 0.5375 0.2500 P
0.0000 0.0000 0.5000 H
0.0000 0.0000 0.0000 H
0.1672 0.3344 0.5547 Pd
0.1672 0.3344 0.9453 Pd
0.8328 0.6656 0.0547 Pd
0.8328 0.6656 0.4453 Pd
```

Values from the calculation:
* DFT total energy: -48.88 eV for the cell shown

Entry 2:
A relaxed structure of SrP2HPd. Source: Alexandria, functional PBE.

```
SrP2HPd
1.0
4.2733 0.0000 0.0000
0.0000 4.3854 0.0000
0.0000 0.0000 4.2733
H Pd Sr P
1 1 1 2
Direct
0.0000 0.0000 0.0000 H
0.5000 0.5000 0.5000 Pd
0.0000 0.5000 0.0000 Sr
0.5000 0.0000 0.0000 P
0.0000 0.0000 0.5000 P
```

Values from the calculation:
* DFT total energy: -20.50 eV for the cell shown

Entry 3:
A relaxed structure of ThPHPd. Source: Alexandria, functional PBE.

```
ThPHPd
1.0
4.2496 0.0000 0.0000
-2.1248 3.6803 0.0062
0.0000 -0.0067 4.0005
Th Pd H P
1 1 1 1
Direct
0.5719 0.1438 0.3097 Th
0.2386 0.4772 0.8097 Pd
0.2385 0.4771 0.3100 H
0.9053 0.8105 0.8098 P
```

Values from the calculation:
* DFT total energy: -25.36 eV for the cell shown

Spin magnetization in μB per atom, matching the order above: 0.0000; 0.0000; 0.0000